No. 1
Below is a geometry-optimized TaC3 structure, with properties calculated at the PBE level.

a b c (Å): 5.4095 5.4095 3.2073
angles (deg): 90.01 90.01 29.23
Positions (direct):
C  0.5000  0.5000  0.5000
C  0.7720  0.7720  0.0000
C  0.2280  0.2280  0.0000
Ta  0.0000  0.0000  0.0000

Values from the calculation:
E above lowest polymorph: 228 meV per atom
Theoretical density: 7.9 g/cm³
Symmetry: Cmmm
Calculated formation energy: 0.816 eV per atom
Calculated total energy: -9.07 eV/atom

=====

No. 2
Below is a geometry-optimized TaC3 structure, with properties calculated at the PBE level.

a b c (Å): 4.0249 4.1124 4.4560
angles (deg): 90.00 90.00 90.00
Positions (direct):
Ta  0.6439  0.0000  0.0000
Ta  0.3561  0.5000  0.5000
C  0.3376  0.5000  0.0000
C  0.6624  0.0000  0.5000
C  0.0314  0.0000  0.6532
C  0.0314  0.0000  0.3468
C  0.9686  0.5000  0.1532
C  0.9686  0.5000  0.8468

Values from the calculation:
E above lowest polymorph: 460 meV per atom
Theoretical density: 9.8 g/cm³
Symmetry: Pmmn
Calculated formation energy: 1.048 eV per atom
Calculated total energy: -8.83 eV/atom